Entry 1:
# CaMnCo2Pd

Crystalline CaMnCo2Pd at its relaxed geometry (GGA-PBEsol, the Alexandria database).

The calculation puts the total DFT energy (no corrections) at -4.79 eV per atom. The calculation puts the formation enthalpy at 0 K at 906 kJ/mol of formula units. As for the crystal system: tetragonal.

Unit cell a=4.228 b=4.228 c=4.568 alpha=90.00 beta=90.00 gamma=90.00
Space group P4/mmm (No. 123)
Inequivalent atoms, fractional coordinates:
1 Ca 0.000 0.000 0.000 (multiplicity 1)
2 Mn 0.000 0.000 0.500 (multiplicity 1)
3 Co 0.000 0.500 0.000 (multiplicity 2)
4 Pd 0.500 0.500 0.500 (multiplicity 1)

=====

Entry 2:
# CaMn2CoSb

Crystalline CaMn2CoSb at its relaxed geometry (GGA-PBEsol, the Alexandria database).

The calculation puts the total DFT energy (no corrections) at -6.44 eV per atom. Its energy relative to the elements, uncorrected is 1.7 eV/f.u. As for the crystal system: tetragonal.

Unit cell a=4.635 b=4.635 c=4.747 alpha=90.00 beta=90.00 gamma=90.00
Space group P4/mmm (No. 123)
Inequivalent atoms, fractional coordinates:
1 Ca 0.000 0.000 0.000 (multiplicity 1)
2 Mn 0.000 0.500 0.500 (multiplicity 2)
3 Co 0.500 0.500 0.500 (multiplicity 1)
4 Sb 0.500 0.500 0.000 (multiplicity 1)

=====

Entry 3:
# CaCoMo

Crystalline CaCoMo at its relaxed geometry (GGA-PBEsol, the Alexandria database).

The calculation puts the total DFT energy (no corrections) at -5.98 eV per atom. The calculation puts the formation enthalpy at 0 K at 357 kJ/mol of formula units. As for the crystal system: cubic.

Unit cell a=5.988 b=5.988 c=5.988 alpha=90.00 beta=90.00 gamma=90.00
Space group F-43m (No. 216)
Inequivalent atoms, fractional coordinates:
1 Ca 0.000 0.000 0.000 (multiplicity 4)
2 Co 0.000 0.000 0.500 (multiplicity 4)
3 Mo 0.250 0.250 0.250 (multiplicity 4)

=====

Entry 4:
# CaCo3Mo

Crystalline CaCo3Mo at its relaxed geometry (GGA-PBEsol, the Alexandria database).

The calculation puts the total DFT energy (no corrections) at -6.54 eV per atom. The calculation puts the formation enthalpy at 0 K at 427 kJ/mol of formula units. As for the crystal system: cubic.

Unit cell a=4.415 b=4.415 c=4.415 alpha=90.00 beta=90.00 gamma=90.00
Space group Pm-3m (No. 221)
Inequivalent atoms, fractional coordinates:
1 Ca 0.000 0.000 0.000 (multiplicity 1)
2 Co 0.000 0.500 0.500 (multiplicity 3)
3 Mo 0.500 0.500 0.500 (multiplicity 1)

=====

Entry 5:
# Ca2CoMo

Crystalline Ca2CoMo at its relaxed geometry (GGA-PBEsol, the Alexandria database).

The calculation puts the total DFT energy (no corrections) at -5.03 eV per atom. The calculation puts the formation enthalpy at 0 K at 352 kJ/mol of formula units. As for the crystal system: orthorhombic.

Unit cell a=2.819 b=4.709 c=5.767 alpha=90.00 beta=90.00 gamma=90.00
Space group Pmmm (No. 47)
Inequivalent atoms, fractional coordinates:
1 Ca 0.000 0.000 0.245 (multiplicity 2)
2 Co 0.500 0.500 0.000 (multiplicity 1)
3 Mo 0.500 0.500 0.500 (multiplicity 1)

=====

Entry 6:
# Ca3CoMo

Crystalline Ca3CoMo at its relaxed geometry (GGA-PBEsol, the Alexandria database).

The calculation puts the total DFT energy (no corrections) at -3.73 eV per atom. The calculation puts the formation enthalpy at 0 K at 699 kJ/mol of formula units. As for the crystal system: cubic.

Unit cell a=5.262 b=5.262 c=5.262 alpha=90.00 beta=90.00 gamma=90.00
Space group Pm-3m (No. 221)
Inequivalent atoms, fractional coordinates:
1 Ca 0.000 0.000 0.500 (multiplicity 3)
2 Co 0.500 0.500 0.500 (multiplicity 1)
3 Mo 0.000 0.000 0.000 (multiplicity 1)

=====

Entry 7:
# Ca2CoMo

Crystalline Ca2CoMo at its relaxed geometry (GGA-PBEsol, the Alexandria database).

The calculation puts the total DFT energy (no corrections) at -4.96 eV per atom. The calculation puts the formation enthalpy at 0 K at 380 kJ/mol of formula units. As for the crystal system: tetragonal.

Unit cell a=3.629 b=3.629 c=6.293 alpha=90.00 beta=90.00 gamma=90.00
Space group P4/mmm (No. 123)
Inequivalent atoms, fractional coordinates:
1 Ca 0.000 0.000 0.237 (multiplicity 2)
2 Co 0.500 0.500 0.000 (multiplicity 1)
3 Mo 0.500 0.500 0.500 (multiplicity 1)

=====

Entry 8:
# Ca2ZnCoMo

Crystalline Ca2ZnCoMo at its relaxed geometry (GGA-PBEsol, the Alexandria database).

The calculation puts the total DFT energy (no corrections) at -4.10 eV per atom. The calculation puts the formation enthalpy at 0 K at 470 kJ/mol of formula units. As for the crystal system: tetragonal.

Unit cell a=5.545 b=5.545 c=4.201 alpha=90.00 beta=90.00 gamma=90.00
Space group P4/mmm (No. 123)
Inequivalent atoms, fractional coordinates:
1 Ca 0.000 0.500 0.000 (multiplicity 2)
2 Zn 0.000 0.000 0.500 (multiplicity 1)
3 Co 0.500 0.500 0.500 (multiplicity 1)
4 Mo 0.500 0.500 0.000 (multiplicity 1)

=====

Entry 9:
# Ca3CoN

Crystalline Ca3CoN at its relaxed geometry (GGA-PBEsol, the Alexandria database).

The calculation puts the total DFT energy (no corrections) at -3.67 eV per atom. Its energy relative to the elements, uncorrected is 4.3 eV/f.u. As for the crystal system: cubic.

Unit cell a=4.917 b=4.917 c=4.917 alpha=90.00 beta=90.00 gamma=90.00
Space group Pm-3m (No. 221)
Inequivalent atoms, fractional coordinates:
1 Ca 0.000 0.000 0.500 (multiplicity 3)
2 Co 0.000 0.000 0.000 (multiplicity 1)
3 N 0.500 0.500 0.500 (multiplicity 1)

=====

Entry 10:
# Ca5Co2N6

Crystalline Ca5Co2N6 at its relaxed geometry (GGA-PBEsol, the Alexandria database).

The calculation puts the total DFT energy (no corrections) at -6.63 eV per atom. Its energy relative to the elements, uncorrected is -8.9 eV/f.u. As for the crystal system: monoclinic.

Unit cell a=9.684 b=6.125 c=12.381 alpha=90.00 beta=102.33 gamma=90.00
Space group C2/c (No. 15)
Inequivalent atoms, fractional coordinates:
1 Ca 0.000 0.131 0.250 (multiplicity 4)
2 Ca 0.065 0.240 0.999 (multiplicity 8)
3 Ca 0.159 0.393 0.723 (multiplicity 8)
4 Co 0.228 0.384 0.434 (multiplicity 8)
5 N 0.053 0.462 0.371 (multiplicity 8)
6 N 0.144 0.032 0.645 (multiplicity 8)
7 N 0.216 0.056 0.426 (multiplicity 8)

=====

Entry 11:
# CaCoN2

Crystalline CaCoN2 at its relaxed geometry (GGA-PBEsol, the Alexandria database).

The calculation puts the total DFT energy (no corrections) at -6.29 eV per atom. Its energy relative to the elements, uncorrected is 1.8 eV/f.u. As for the crystal system: cubic.

Unit cell a=5.405 b=5.405 c=5.405 alpha=90.00 beta=90.00 gamma=90.00
Space group Fm-3m (No. 225)
Inequivalent atoms, fractional coordinates:
1 Ca 0.000 0.000 0.000 (multiplicity 4)
2 Co 0.000 0.000 0.500 (multiplicity 4)
3 N 0.250 0.250 0.250 (multiplicity 8)

=====

> Which of these has the lowest total DFT energy (no corrections)?

Ca5Co2N6